Material: GaHg2Sb2
Method: DFT, PBE-GGA
State: optimized geometry

Properties
The calculated volume is 290.92 Å³/cell. The value obtained for the uncorrected formation energy is 0.228 eV per atom. The value obtained for the uncorrected energy is -2.1473 eV per atom.

abc: 4.337 4.337 15.467
angles: 90.00 90.00 90.00
Atoms (fractional coordinates):
Ga1 0.000 0.000 0.000
Ga2 0.500 0.500 0.500
Hg1 0.000 0.000 0.407
Hg2 0.000 0.000 0.593
Hg3 0.500 0.500 0.093
Hg4 0.500 0.500 0.907
Sb1 0.000 0.500 0.250
Sb2 0.000 0.500 0.750
Sb3 0.500 0.000 0.250
Sb4 0.500 0.000 0.750

Material: Ga12Hg5Sb3
Method: DFT, PBE-GGA
State: optimized geometry

Properties
The calculated volume is 2194.05 Å³/cell. The value obtained for the uncorrected formation energy is 0.142 eV per atom. The value obtained for the uncorrected energy is -2.3680 eV per atom.

abc: 14.178 14.178 14.178
angles: 109.47 109.47 109.47
Atoms (fractional coordinates):
Ga1 0.061 0.226 0.139
Ga2 0.061 0.336 0.922
Ga3 0.078 0.639 0.413
Ga4 0.078 0.939 0.664
Ga5 0.087 0.726 0.664
Ga6 0.087 0.861 0.422
Ga7 0.139 0.061 0.226
Ga8 0.139 0.578 0.913
Ga9 0.164 0.226 0.587
Ga10 0.164 0.439 0.578
Ga11 0.226 0.139 0.061
Ga12 0.226 0.587 0.164
Ga13 0.274 0.336 0.913
Ga14 0.274 0.439 0.361
Ga15 0.336 0.913 0.274
Ga16 0.336 0.922 0.061
Ga17 0.361 0.274 0.439
Ga18 0.361 0.587 0.922
Ga19 0.413 0.078 0.639
Ga20 0.413 0.836 0.774
Ga21 0.422 0.087 0.861
Ga22 0.422 0.836 0.561
Ga23 0.439 0.361 0.274
Ga24 0.439 0.578 0.164
Ga25 0.561 0.422 0.836
Ga26 0.561 0.639 0.726
Ga27 0.578 0.164 0.439
Ga28 0.578 0.913 0.139
Ga29 0.587 0.164 0.226
Ga30 0.587 0.922 0.361
Ga31 0.639 0.413 0.078
Ga32 0.639 0.726 0.561
Ga33 0.664 0.078 0.939
Ga34 0.664 0.087 0.726
Ga35 0.726 0.561 0.639
Ga36 0.726 0.664 0.087
Ga37 0.774 0.413 0.836
Ga38 0.774 0.861 0.939
Ga39 0.836 0.561 0.422
Ga40 0.836 0.774 0.413
Ga41 0.861 0.422 0.087
Ga42 0.861 0.939 0.774
Ga43 0.913 0.139 0.578
Ga44 0.913 0.274 0.336
Ga45 0.922 0.061 0.336
Ga46 0.922 0.361 0.587
Ga47 0.939 0.664 0.078
Ga48 0.939 0.774 0.861
Hg1 0.000 0.000 0.000
Hg2 0.000 0.000 0.500
Hg3 0.000 0.500 0.000
Hg4 0.000 0.500 0.500
Hg5 0.125 0.750 0.875
Hg6 0.125 0.875 0.250
Hg7 0.250 0.125 0.875
Hg8 0.250 0.625 0.375
Hg9 0.375 0.250 0.625
Hg10 0.375 0.625 0.750
Hg11 0.500 0.000 0.000
Hg12 0.500 0.000 0.500
Hg13 0.500 0.500 0.000
Hg14 0.500 0.500 0.500
Hg15 0.625 0.375 0.250
Hg16 0.625 0.750 0.375
Hg17 0.750 0.375 0.625
Hg18 0.750 0.875 0.125
Hg19 0.875 0.125 0.750
Hg20 0.875 0.250 0.125
Sb1 0.125 0.250 0.375
Sb2 0.125 0.375 0.750
Sb3 0.250 0.375 0.125
Sb4 0.250 0.875 0.625
Sb5 0.375 0.125 0.250
Sb6 0.375 0.750 0.125
Sb7 0.625 0.250 0.875
Sb8 0.625 0.875 0.750
Sb9 0.750 0.125 0.375
Sb10 0.750 0.625 0.875
Sb11 0.875 0.625 0.250
Sb12 0.875 0.750 0.625

Material: Ga3Hg5Sb12
Method: DFT, PBE-GGA
State: optimized geometry

Properties
The calculated volume is 3480.12 Å³/cell. The value obtained for the uncorrected formation energy is 0.189 eV per atom. The value obtained for the uncorrected energy is -2.8141 eV per atom.

abc: 16.535 16.535 16.535
angles: 109.47 109.47 109.47
Atoms (fractional coordinates):
Ga1 0.125 0.250 0.375
Ga2 0.125 0.375 0.750
Ga3 0.250 0.375 0.125
Ga4 0.250 0.875 0.625
Ga5 0.375 0.125 0.250
Ga6 0.375 0.750 0.125
Ga7 0.625 0.250 0.875
Ga8 0.625 0.875 0.750
Ga9 0.750 0.125 0.375
Ga10 0.750 0.625 0.875
Ga11 0.875 0.625 0.250
Ga12 0.875 0.750 0.625
Hg1 0.000 0.000 0.000
Hg2 0.000 0.000 0.500
Hg3 0.000 0.500 0.000
Hg4 0.000 0.500 0.500
Hg5 0.125 0.750 0.875
Hg6 0.125 0.875 0.250
Hg7 0.250 0.125 0.875
Hg8 0.250 0.625 0.375
Hg9 0.375 0.250 0.625
Hg10 0.375 0.625 0.750
Hg11 0.500 0.000 0.000
Hg12 0.500 0.000 0.500
Hg13 0.500 0.500 0.000
Hg14 0.500 0.500 0.500
Hg15 0.625 0.375 0.250
Hg16 0.625 0.750 0.375
Hg17 0.750 0.375 0.625
Hg18 0.750 0.875 0.125
Hg19 0.875 0.125 0.750
Hg20 0.875 0.250 0.125
Sb1 0.064 0.663 0.436
Sb2 0.064 0.727 0.629
Sb3 0.064 0.837 0.436
Sb4 0.064 0.901 0.629
Sb5 0.099 0.227 0.163
Sb6 0.099 0.371 0.936
Sb7 0.129 0.227 0.564
Sb8 0.129 0.401 0.564
Sb9 0.163 0.099 0.227
Sb10 0.163 0.564 0.936
Sb11 0.227 0.163 0.099
Sb12 0.227 0.564 0.129
Sb13 0.273 0.371 0.936
Sb14 0.273 0.401 0.337
Sb15 0.337 0.273 0.401
Sb16 0.337 0.564 0.936
Sb17 0.371 0.936 0.099
Sb18 0.371 0.936 0.273
Sb19 0.401 0.337 0.273
Sb20 0.401 0.564 0.129
Sb21 0.436 0.064 0.663
Sb22 0.436 0.064 0.837
Sb23 0.436 0.871 0.599
Sb24 0.436 0.871 0.773
Sb25 0.564 0.129 0.227
Sb26 0.564 0.129 0.401
Sb27 0.564 0.936 0.163
Sb28 0.564 0.936 0.337
Sb29 0.599 0.436 0.871
Sb30 0.599 0.663 0.727
Sb31 0.629 0.064 0.727
Sb32 0.629 0.064 0.901
Sb33 0.663 0.436 0.064
Sb34 0.663 0.727 0.599
Sb35 0.727 0.599 0.663
Sb36 0.727 0.629 0.064
Sb37 0.773 0.436 0.871
Sb38 0.773 0.837 0.901
Sb39 0.837 0.436 0.064
Sb40 0.837 0.901 0.773
Sb41 0.871 0.599 0.436
Sb42 0.871 0.773 0.436
Sb43 0.901 0.629 0.064
Sb44 0.901 0.773 0.837
Sb45 0.936 0.099 0.371
Sb46 0.936 0.163 0.564
Sb47 0.936 0.273 0.371
Sb48 0.936 0.337 0.564

Material: Ga2HgSb2
Method: DFT, PBE-GGA
State: optimized geometry

Properties
The calculated volume is 262.84 Å³/cell. The value obtained for the uncorrected formation energy is 0.085 eV per atom. The value obtained for the uncorrected energy is -2.8349 eV per atom.

abc: 5.010 5.010 10.474
angles: 90.00 90.00 90.00
Atoms (fractional coordinates):
Ga1 0.000 0.000 0.118
Ga2 0.000 0.000 0.882
Ga3 0.500 0.500 0.382
Ga4 0.500 0.500 0.618
Hg1 0.000 0.000 0.500
Hg2 0.500 0.500 0.000
Sb1 0.000 0.500 0.250
Sb2 0.000 0.500 0.750
Sb3 0.500 0.000 0.250
Sb4 0.500 0.000 0.750

Material: Ga2HgSb2
Method: DFT, PBE-GGA
State: optimized geometry

Properties
The calculated volume is 251.93 Å³/cell. The value obtained for the uncorrected formation energy is 0.105 eV per atom. The value obtained for the uncorrected energy is -2.8151 eV per atom.

abc: 8.588 8.588 3.416
angles: 90.00 90.00 90.00
Atoms (fractional coordinates):
Ga1 0.137 0.363 0.000
Ga2 0.363 0.863 0.000
Ga3 0.637 0.137 0.000
Ga4 0.863 0.637 0.000
Hg1 0.000 0.000 0.500
Hg2 0.500 0.500 0.500
Sb1 0.160 0.660 0.500
Sb2 0.340 0.160 0.500
Sb3 0.660 0.840 0.500
Sb4 0.840 0.340 0.500

Material: Ga2HgSbSe6
Method: DFT, PBE-GGA
State: optimized geometry

Properties
The calculated volume is 542.66 Å³/cell. The value obtained for the uncorrected formation energy is -0.292 eV per atom. The value obtained for the uncorrected energy is -3.4306 eV per atom.

abc: 8.867 8.867 7.260
angles: 102.65 102.65 84.32
Atoms (fractional coordinates):
Ga1 0.116 0.288 0.246
Ga2 0.288 0.116 0.746
Ga3 0.712 0.884 0.254
Ga4 0.884 0.712 0.754
Hg1 0.319 0.681 0.750
Hg2 0.681 0.319 0.250
Sb1 0.257 0.743 0.250
Sb2 0.743 0.257 0.750
Se1 0.060 0.187 0.514
Se2 0.117 0.564 0.882
Se3 0.187 0.060 0.014
Se4 0.317 0.476 0.373
Se5 0.436 0.883 0.618
Se6 0.476 0.317 0.873
Se7 0.524 0.683 0.127
Se8 0.564 0.117 0.382
Se9 0.683 0.524 0.627
Se10 0.813 0.940 0.986
Se11 0.883 0.436 0.118
Se12 0.940 0.813 0.486

Material: SrGaHg2Sb
Method: DFT, PBE-GGA
State: optimized geometry

Properties
The calculated volume is 156.34 Å³/cell. The value obtained for the uncorrected formation energy is -0.229 eV per atom. The value obtained for the uncorrected energy is -2.1160 eV per atom.

abc: 5.239 5.239 5.695
angles: 90.00 90.00 90.00
Atoms (fractional coordinates):
Sr1 0.000 0.000 0.000
Ga1 0.500 0.500 0.500
Hg1 0.000 0.500 0.500
Hg2 0.500 0.000 0.500
Sb1 0.500 0.500 0.000

Material: Sr3Ga2Hg4Sb2
Method: DFT, PBE-GGA
State: optimized geometry

Properties
The calculated volume is 322.05 Å³/cell. The value obtained for the uncorrected formation energy is -0.428 eV per atom. The value obtained for the uncorrected energy is -2.2960 eV per atom.

abc: 13.969 13.969 13.969
angles: 159.89 159.89 28.59
Atoms (fractional coordinates):
Sr1 0.000 0.000 0.000
Sr2 0.194 0.194 0.000
Sr3 0.806 0.806 0.000
Ga1 0.452 0.452 0.000
Ga2 0.548 0.548 0.000
Hg1 0.097 0.597 0.500
Hg2 0.403 0.903 0.500
Hg3 0.597 0.097 0.500
Hg4 0.903 0.403 0.500
Sb1 0.321 0.321 0.000
Sb2 0.679 0.679 0.000

Material: GaHgSb2Te
Method: DFT, PBE-GGA
State: optimized geometry

Properties
The calculated volume is 179.56 Å³/cell. The value obtained for the uncorrected formation energy is 0.677 eV per atom. The value obtained for the uncorrected energy is -2.2659 eV per atom.

abc: 5.540 5.540 5.850
angles: 90.00 90.00 90.00
Atoms (fractional coordinates):
Ga1 0.000 0.000 0.000
Hg1 0.500 0.500 0.500
Sb1 0.000 0.500 0.500
Sb2 0.500 0.000 0.500
Te1 0.500 0.500 0.000

Material: GaHgSb2Te
Method: DFT, PBE-GGA
State: optimized geometry

Properties
The calculated volume is 158.40 Å³/cell. The value obtained for the uncorrected formation energy is 0.472 eV per atom. The value obtained for the uncorrected energy is -2.4710 eV per atom.

abc: 5.401 5.401 5.431
angles: 90.00 90.00 90.00
Atoms (fractional coordinates):
Ga1 0.000 0.000 0.000
Hg1 0.500 0.500 0.500
Sb1 0.000 0.500 0.000
Sb2 0.500 0.000 0.000
Te1 0.000 0.000 0.500

Material: TlGaHgSb
Method: DFT, PBE-GGA
State: optimized geometry

Properties
The calculated volume is 431.77 Å³/cell. The value obtained for the uncorrected formation energy is 0.072 eV per atom. The value obtained for the uncorrected energy is -2.3822 eV per atom.

abc: 7.558 7.558 7.558
angles: 90.00 90.00 90.00
Atoms (fractional coordinates):
Tl1 0.000 0.000 0.000
Tl2 0.000 0.500 0.500
Tl3 0.500 0.000 0.500
Tl4 0.500 0.500 0.000
Ga1 0.000 0.000 0.500
Ga2 0.000 0.500 0.000
Ga3 0.500 0.000 0.000
Ga4 0.500 0.500 0.500
Hg1 0.250 0.250 0.750
Hg2 0.250 0.750 0.250
Hg3 0.750 0.250 0.250
Hg4 0.750 0.750 0.750
Sb1 0.250 0.250 0.250
Sb2 0.250 0.750 0.750
Sb3 0.750 0.250 0.750
Sb4 0.750 0.750 0.250

Material: Ga2HgSbW
Method: DFT, PBE-GGA
State: optimized geometry

Properties
The calculated volume is 149.74 Å³/cell. The value obtained for the uncorrected formation energy is 1.632 eV per atom. The value obtained for the uncorrected energy is -3.0546 eV per atom.

abc: 5.220 5.220 5.495
angles: 90.00 90.00 90.00
Atoms (fractional coordinates):
Ga1 0.000 0.500 0.000
Ga2 0.500 0.000 0.000
Hg1 0.000 0.000 0.500
Sb1 0.000 0.000 0.000
W1 0.500 0.500 0.500

Material: YGaHgSb2
Method: DFT, PBE-GGA
State: optimized geometry

Properties
The calculated volume is 198.14 Å³/cell. The value obtained for the uncorrected formation energy is 0.223 eV per atom. The value obtained for the uncorrected energy is -3.3842 eV per atom.

abc: 5.779 5.779 5.933
angles: 90.00 90.00 90.00
Atoms (fractional coordinates):
Y1 0.000 0.000 0.000
Ga1 0.500 0.500 0.500
Hg1 0.000 0.000 0.500
Sb1 0.000 0.500 0.000
Sb2 0.500 0.000 0.000

Material: ZnGaHgSb
Method: DFT, PBE-GGA
State: optimized geometry

Properties
The calculated volume is 366.33 Å³/cell. The value obtained for the uncorrected formation energy is 0.109 eV per atom. The value obtained for the uncorrected energy is -2.0727 eV per atom.

abc: 7.155 7.155 7.155
angles: 90.00 90.00 90.00
Atoms (fractional coordinates):
Zn1 0.000 0.000 0.000
Zn2 0.000 0.500 0.500
Zn3 0.500 0.000 0.500
Zn4 0.500 0.500 0.000
Ga1 0.000 0.000 0.500
Ga2 0.000 0.500 0.000
Ga3 0.500 0.000 0.000
Ga4 0.500 0.500 0.500
Hg1 0.250 0.250 0.250
Hg2 0.250 0.750 0.750
Hg3 0.750 0.250 0.750
Hg4 0.750 0.750 0.250
Sb1 0.250 0.250 0.750
Sb2 0.250 0.750 0.250
Sb3 0.750 0.250 0.250
Sb4 0.750 0.750 0.750

Material: Sc2GaHg2
Method: DFT, PBE-GGA
State: optimized geometry

Properties
The calculation puts the formation energy at -142 kJ/mol of formula units. The calculated volume is 218.12 Å³/cell. The value obtained for the uncorrected energy is -3.5527 eV per atom.

abc: 7.352 7.352 4.035
angles: 90.00 90.00 90.00
Atoms (fractional coordinates):
Sc1 0.166 0.334 0.000
Sc2 0.334 0.834 0.000
Sc3 0.666 0.166 0.000
Sc4 0.834 0.666 0.000
Ga1 0.000 0.000 0.500
Ga2 0.500 0.500 0.500
Hg1 0.138 0.638 0.500
Hg2 0.362 0.138 0.500
Hg3 0.638 0.862 0.500
Hg4 0.862 0.362 0.500

Material: ScGaHg
Method: DFT, PBE-GGA
State: optimized geometry

Properties
The calculation puts the formation energy at -83 kJ/mol of formula units. The calculated volume is 122.36 Å³/cell. The value obtained for the uncorrected energy is -3.5067 eV per atom.

abc: 3.221 3.221 11.793
angles: 90.00 90.00 90.00
Atoms (fractional coordinates):
Sc1 0.000 0.000 0.000
Sc2 0.500 0.500 0.500
Ga1 0.000 0.000 0.348
Ga2 0.500 0.500 0.848
Hg1 0.000 0.000 0.677
Hg2 0.500 0.500 0.177

Material: ScGaHg
Method: DFT, PBE-GGA
State: optimized geometry

Properties
The calculation puts the formation energy at -115 kJ/mol of formula units. The calculated volume is 251.27 Å³/cell. The value obtained for the uncorrected energy is -3.6161 eV per atom.

abc: 16.037 3.972 3.945
angles: 90.00 90.74 90.00
Atoms (fractional coordinates):
Sc1 0.091 0.000 0.255
Sc2 0.409 0.500 0.745
Sc3 0.591 0.500 0.255
Sc4 0.909 0.000 0.745
Ga1 0.046 0.500 0.752
Ga2 0.454 0.000 0.248
Ga3 0.546 0.000 0.752
Ga4 0.954 0.500 0.248
Hg1 0.213 0.500 0.749
Hg2 0.287 0.000 0.251
Hg3 0.713 0.000 0.749
Hg4 0.787 0.500 0.251

Material: ScGa2Hg
Method: DFT, PBE-GGA
State: optimized geometry

Properties
The calculation puts the formation energy at -55 kJ/mol of formula units. The calculated volume is 339.53 Å³/cell. The value obtained for the uncorrected energy is -3.3134 eV per atom.

abc: 7.574 7.574 5.919
angles: 90.00 90.00 90.00
Atoms (fractional coordinates):
Sc1 0.000 0.000 0.000
Sc2 0.000 0.500 0.250
Sc3 0.500 0.000 0.750
Sc4 0.500 0.500 0.500
Ga1 0.235 0.250 0.625
Ga2 0.250 0.735 0.875
Ga3 0.250 0.765 0.375
Ga4 0.265 0.250 0.125
Ga5 0.735 0.750 0.125
Ga6 0.750 0.235 0.375
Ga7 0.750 0.265 0.875
Ga8 0.765 0.750 0.625
Hg1 0.000 0.000 0.500
Hg2 0.000 0.500 0.750
Hg3 0.500 0.000 0.250
Hg4 0.500 0.500 0.000